# 1
## Na2PmGaCl6 (GGA-PBE)

Data for an optimized crystal structure of Na2PmGaCl6.

a b c (Å): 7.1948 7.1948 19.5508
angles (deg): 90.00 90.00 120.00
Space group R3 (No. 146, hexagonal axes)
Asymmetric unit:
Na (0.0000, 0.0000, 0.0000) [3 per cell]
Na (0.0000, 0.0000, 0.4907) [3 per cell]
Pm (0.0000, 0.0000, 0.6889) [3 per cell]
Ga (0.0000, 0.0000, 0.2011) [3 per cell]
Cl (0.0195, 0.3386, 0.7574) [9 per cell]
Cl (0.0221, 0.7204, 0.5973) [9 per cell]

Summary:
Crystal system ... trigonal
DOS at the Fermi energy ... 0.000 states/eV per atom
Energy ... -117.7 eV per cell

---

# 2
## RbNaGa2Cl8 (GGA-PBE)

Data for an optimized crystal structure of RbNaGa2Cl8.

a b c (Å): 6.6057 6.6057 28.7905
angles (deg): 90.00 90.00 120.00
Space group R-3 (No. 148, hexagonal axes)
Asymmetric unit:
Rb (0.0000, 0.0000, 0.0000) [3 per cell]
Na (0.0000, 0.0000, 0.5000) [3 per cell]
Ga (0.0000, 0.0000, 0.2498) [6 per cell]
Cl (0.0000, 0.0000, 0.3265) [6 per cell]
Cl (0.0069, 0.3577, 0.4401) [18 per cell]

Summary:
Crystal system ... trigonal
DOS at the Fermi energy ... 0.000 states/eV per atom
Energy ... -121.4 eV per cell

---

Q: Which formula does entry 1 have?
A: Na2PmGaCl6